Below is a PBEsol-optimized structure of Ba2CuPt2, with properties calculated at the SCAN level.

The structure in POSCAR format:
```
Ba2CuPt2
1.0
-3.027 3.027 3.790
3.027 -3.027 3.790
3.027 3.027 -3.790
Ba Cu Pt
2 1 2
Cartesian
3.027 0.000 1.895 Ba
0.000 3.027 1.895 Ba
0.000 0.000 0.000 Cu
0.000 0.000 2.474 Pt
0.000 0.000 5.105 Pt
```

## Properties
The calculation puts the total energy at -237.02 eV/cell. As for the space group: No. 139. Its density of states at the Fermi level is 0.258 states/eV/atom. As for the crystal system: tetragonal. The calculation puts the energy of formation at -0.47 eV per atom.